Entry from Alexandria: crystalline Sc6RuPt5 at its relaxed geometry (PBE-GGA).

M_tot	0.0	μB/f.u.
ΔE_f	-13.76	eV/f.u.
N(E_F)	0.5018	states/eV per atom

Unit cell a=4.6926 b=14.0917 c=6.4249 alpha=90.00 beta=90.00 gamma=90.00
With the nearest neighbours (Å) after each atom.
Space group Cmmm (No. 65)
Inequivalent atoms, fractional coordinates:
Sc: 0.0000 0.0000 0.2478 [4 per cell]  6 Pt 2.79-2.87, 2 Ru 2.84
Sc: 0.0000 0.3347 0.2475 [8 per cell]  1 Ru 2.82, 7 Pt 2.83-2.90
Ru: 0.0000 0.5000 0.0000 [2 per cell]  8 Sc 2.82-2.84
Pt: 0.0000 0.1625 0.0000 [4 per cell]  8 Sc 2.79-2.90
Pt: 0.0000 0.1684 0.5000 [4 per cell]  8 Sc 2.85-2.87
Pt: 0.0000 0.5000 0.5000 [2 per cell]  8 Sc 2.84-2.85